# 1
Density functional theory data (GGA-PBE) for a geometry-optimized Li2TlIn2 structure.

Values from the calculation:
VASP energy   -2.496 eV per atom
Formation energy   -0.162 eV/atom
Total moment   0.00 μB per cell
Relative energy among the computed polymorphs   0.07 eV/f.u.

Unit cell a=8.456 b=8.456 c=3.215 alpha=90.00 beta=90.00 gamma=90.00
Fractional positions:
Li 0.175 0.325 0.000
Li 0.325 0.825 0.000
Li 0.675 0.175 0.000
Li 0.825 0.675 0.000
Tl 0.000 0.000 0.500
Tl 0.500 0.500 0.500
In 0.125 0.625 0.500
In 0.375 0.125 0.500
In 0.625 0.875 0.500
In 0.875 0.375 0.500

---

# 2
Density functional theory data (GGA-PBE) for a geometry-optimized TaTe2Os structure.

Values from the calculation:
VASP energy   -7.160 eV per atom
Formation energy (no corrections)   0.182 eV/atom
Total moment   0.00 μB per cell
Relative energy among the computed polymorphs   0.63 eV/f.u.

Unit cell a=10.369 b=10.369 c=10.369 alpha=18.51 beta=18.51 gamma=18.51
Fractional positions:
Ta 0.000 0.000 0.000
Te 0.260 0.260 0.260
Te 0.463 0.463 0.463
Os 0.721 0.721 0.721

---

> Which value of relative energy among the computed polymorphs does entry 1 give?

0.07 eV/f.u.

---

Repeat the first record exactly.
Density functional theory data (GGA-PBE) for a geometry-optimized Li2TlIn2 structure.

Values from the calculation:
VASP energy   -2.496 eV per atom
Formation energy   -0.162 eV/atom
Total moment   0.00 μB per cell
Relative energy among the computed polymorphs   0.07 eV/f.u.

Unit cell a=8.456 b=8.456 c=3.215 alpha=90.00 beta=90.00 gamma=90.00
Fractional positions:
Li 0.175 0.325 0.000
Li 0.325 0.825 0.000
Li 0.675 0.175 0.000
Li 0.825 0.675 0.000
Tl 0.000 0.000 0.500
Tl 0.500 0.500 0.500
In 0.125 0.625 0.500
In 0.375 0.125 0.500
In 0.625 0.875 0.500
In 0.875 0.375 0.500